A plane-wave DFT calculation with PBE was carried out for a relaxed structure of ZrRhF2.

a = 7.7499 Å, b = 7.7499 Å, c = 7.7499 Å
α = 21.19°, β = 21.19°, γ = 21.19°
Closest atoms and distances in Å follow each position.
Sites, in units of the cell vectors:
Zr (0.0000, 0.0000, 0.0000)  6 F 2.29
Rh (0.5000, 0.5000, 0.5000)  2 F 2.19
F (0.4036, 0.4036, 0.4036)  1 Rh 2.19, 3 Zr 2.29
F (0.5964, 0.5964, 0.5964)  1 Rh 2.19, 3 Zr 2.29

Its uncorrected formation energy is -1.379 eV/atom. The polymorph energy (0 for the lowest one) is 204 meV per atom. The total magnetization is 0.001 μB/f.u. Its space group is R-3m.